CoSbF2 | GGA+U | optimized geometry

The offset from the most stable computed form is 354 kJ/mol of formula units. The density of states at the Fermi level comes out at 0.85 states/eV per atom.

a = 4.407 Å, b = 4.407 Å, c = 4.407 Å
α = 60.00°, β = 60.00°, γ = 60.00°
Fractional positions:
Co (0.000, 0.000, 0.000)
Sb (0.500, 0.500, 0.500)
F (0.250, 0.250, 0.250)
F (0.750, 0.750, 0.750)